Entry 1:
Material: AcNpS4
Method: DFT, PBE
State: optimized geometry

Summary:
Its uncorrected formation energy is -1.498 eV per atom. As for the energy above the most stable polymorph in this dataset: 0.00 kcal/mol of atoms. The calculation puts the total magnetization at 8.000 μB/cell.

a b c (Å): 8.709 13.935 6.726
angles (deg): 90.00 127.46 90.00
Space group C2/c (No. 15)
Unique sites:
Ac 0.000 0.132 0.250
Np 0.000 0.416 0.750
S 0.148 0.285 0.659
S 0.240 0.469 0.234

Entry 2:
Material: DyNbIr2
Method: DFT, PBE
State: optimized geometry

Summary:
As for the energy above the most stable polymorph in this dataset: 2.07 kcal/mol of atoms. The calculation puts the total magnetization at 0.000 μB/cell.

a b c (Å): 4.4604 4.4604 13.5832
angles (deg): 90.00 90.00 120.00
Space group R-3m (No. 166, hexagonal axes)
Unique sites:
Dy 0.0000 0.0000 0.0000
Nb 0.0000 0.0000 0.5000
Ir 0.0000 0.0000 0.2208

Entry 3:
Material: NdY4Sb5
Method: DFT, PBE
State: optimized geometry

Summary:
Its uncorrected formation energy is -1.167 eV per atom. The calculation puts the total magnetization at 0.000 μB/cell.

a b c (Å): 4.418 6.250 22.081
angles (deg): 90.00 90.00 90.00
Space group Immm (No. 71)
Unique sites:
Nd 0.000 0.000 0.000
Y 0.000 0.000 0.202
Y 0.000 0.000 0.400
Sb 0.000 0.500 0.000
Sb 0.000 0.500 0.200
Sb 0.000 0.500 0.397

Entry 4:
Material: CuSn
Method: DFT, PBE
State: optimized geometry

Summary:
The calculation puts the total magnetization at 0.000 μB/cell. The calculation puts the raw total energy at -42.074 eV/cell.

a b c (Å): 7.278 7.278 7.278
angles (deg): 90.00 90.00 90.00
Space group Pm-3n (No. 223)
Unique sites:
Cu 0.000 0.250 0.500
Sn 0.000 0.500 0.250

Entry 5:
Material: Be2NiBiAu
Method: DFT, PBE
State: optimized geometry

Summary:
The calculation puts the total magnetization at 0.000 μB/cell. The calculation puts the raw total energy at -18.206 eV/cell.

a b c (Å): 4.203 4.203 4.895
angles (deg): 90.00 90.00 90.00
Space group P4/mmm (No. 123)
Unique sites:
Be 0.000 0.500 0.000
Ni 0.000 0.000 0.000
Bi 0.500 0.500 0.500
Au 0.000 0.000 0.500

Entry 6:
Material: Cd8GaAg2
Method: DFT, PBE
State: optimized geometry

Summary:
As for the energy above the most stable polymorph in this dataset: 0.00 kcal/mol of atoms. The calculation puts the total magnetization at 0.000 μB/cell.

a b c (Å): 15.779 4.848 6.819
angles (deg): 90.00 115.58 90.00
Space group C2/m (No. 12)
Unique sites:
Cd 0.000 0.000 0.217
Cd 0.148 0.500 0.922
Cd 0.149 0.500 0.376
Cd 0.168 0.000 0.668
Ga 0.000 0.500 0.500
Ag 0.183 0.000 0.183